Here is a relaxed Sc8PSe4S3 crystal from Alexandria. Energies are from PBE.

E, eV/atom: -6.880
Calculated volume, Å³ per cell: 309
Formation energy (no corrections), meV per atom: -1731
Space group: R-3m
Crystal system: trigonal
Density of states at the Fermi level, states/eV/cell: 6.701

Cell: 7.6301 7.6301 7.6301 Å, 59.30 59.30 59.30°
With the nearest neighbours (Å) after each atom.
Positions (direct):
Sc (0.2401, 0.2401, 0.2401)  3 S 2.58, 3 Se 2.80
Sc (0.2447, 0.7381, 0.7381)  1 P 2.56, 2 S 2.59, 3 Se 2.78-2.82
Sc (0.2619, 0.2619, 0.7553)  1 P 2.56, 2 S 2.59, 3 Se 2.78-2.82
Sc (0.2619, 0.7553, 0.2619)  1 P 2.56, 2 S 2.59, 3 Se 2.78-2.82
Sc (0.7381, 0.2447, 0.7381)  1 P 2.56, 2 S 2.59, 3 Se 2.78-2.82
Sc (0.7381, 0.7381, 0.2447)  1 P 2.56, 2 S 2.59, 3 Se 2.78-2.82
Sc (0.7553, 0.2619, 0.2619)  1 P 2.56, 2 S 2.59, 3 Se 2.78-2.82
Sc (0.7599, 0.7599, 0.7599)  3 S 2.58, 3 Se 2.80
P (0.5000, 0.5000, 0.5000)  6 Sc 2.56
Se (0.0000, 0.0000, 0.0000)  6 Sc 2.82
Se (0.0000, 0.5000, 0.5000)  6 Sc 2.78-2.80
Se (0.5000, 0.0000, 0.5000)  6 Sc 2.78-2.80
Se (0.5000, 0.5000, 0.0000)  6 Sc 2.78-2.80
S (0.0000, 0.0000, 0.5000)  6 Sc 2.58-2.59
S (0.0000, 0.5000, 0.0000)  6 Sc 2.58-2.59
S (0.5000, 0.0000, 0.0000)  6 Sc 2.58-2.59

=====

Here is a relaxed ScPSeS2 crystal from Alexandria. Energies are from PBE.

E above lowest polymorph, kJ/mol of formula units: 13.5
E, eV/atom: -4.479
Calculated volume, Å³ per cell: 121
Formation energy (no corrections), meV per atom: 217
Space group: P4/mmm
Crystal system: tetragonal
Density of states at the Fermi level, states/eV/cell: 6.963

Cell: 4.7781 4.7781 5.3133 Å, 90.00 90.00 90.00°
With the nearest neighbours (Å) after each atom.
Positions (direct):
Sc (0.0000, 0.0000, 0.0000)  4 S 2.39, 2 P 2.66
P (0.0000, 0.0000, 0.5000)  2 Sc 2.66
Se (0.5000, 0.5000, 0.5000)  4 P 3.38, 8 S 3.57
S (0.0000, 0.5000, 0.0000)  2 Sc 2.39
S (0.5000, 0.0000, 0.0000)  2 Sc 2.39

=====

Here is a relaxed Sc6P2SeS3 crystal from Alexandria. Energies are from PBE.

E, eV/atom: -7.139
Calculated volume, Å³ per cell: 223
Formation energy (no corrections), meV per atom: -1750
Space group: C2/m
Crystal system: monoclinic
Density of states at the Fermi level, states/eV/cell: 4.210

Cell: 8.3815 8.3815 7.5053 Å, 102.77 102.77 25.77°
With the nearest neighbours (Å) after each atom.
Positions (direct):
Sc (0.0052, 0.0052, 0.2686)  3 S 2.57-2.69, 1 P 2.58, 2 Se 2.74
Sc (0.3271, 0.3271, 0.9011)  2 P 2.59, 3 S 2.61-2.70, 1 Se 2.75
Sc (0.3305, 0.3305, 0.4213)  3 P 2.60-2.61, 3 S 2.70
Sc (0.6695, 0.6695, 0.5787)  3 P 2.60-2.61, 3 S 2.70
Sc (0.6729, 0.6729, 0.0989)  2 P 2.59, 3 S 2.61-2.70, 1 Se 2.75
Sc (0.9948, 0.9948, 0.7314)  3 S 2.57-2.69, 1 P 2.58, 2 Se 2.74
P (0.1671, 0.1671, 0.3343)  6 Sc 2.58-2.61
P (0.8329, 0.8329, 0.6657)  6 Sc 2.58-2.61
Se (0.5000, 0.5000, 0.0000)  6 Sc 2.74-2.75
S (0.1635, 0.1635, 0.8355)  6 Sc 2.61-2.70
S (0.5000, 0.5000, 0.5000)  6 Sc 2.57-2.70
S (0.8365, 0.8365, 0.1645)  6 Sc 2.61-2.70

=====

Here is a relaxed Sc8P3Se4S crystal from Alexandria. Energies are from PBE.

E, eV/atom: -6.982
Calculated volume, Å³ per cell: 313
Formation energy (no corrections), meV per atom: -1672
Space group: R-3m
Crystal system: trigonal
Density of states at the Fermi level, states/eV/cell: 7.765

Cell: 7.6741 7.6741 7.6741 Å, 59.10 59.10 59.10°
With the nearest neighbours (Å) after each atom.
Positions (direct):
Sc (0.2370, 0.7438, 0.7438)  2 P 2.59, 1 S 2.63, 3 Se 2.77-2.80
Sc (0.2417, 0.2417, 0.2417)  3 P 2.61, 3 Se 2.79
Sc (0.2562, 0.2562, 0.7630)  2 P 2.59, 1 S 2.63, 3 Se 2.77-2.80
Sc (0.2562, 0.7630, 0.2562)  2 P 2.59, 1 S 2.63, 3 Se 2.77-2.80
Sc (0.7438, 0.2370, 0.7438)  2 P 2.59, 1 S 2.63, 3 Se 2.77-2.80
Sc (0.7438, 0.7438, 0.2370)  2 P 2.59, 1 S 2.63, 3 Se 2.77-2.80
Sc (0.7583, 0.7583, 0.7583)  3 P 2.61, 3 Se 2.79
Sc (0.7630, 0.2562, 0.2562)  2 P 2.59, 1 S 2.63, 3 Se 2.77-2.80
P (0.0000, 0.0000, 0.5000)  6 Sc 2.59-2.61
P (0.0000, 0.5000, 0.0000)  6 Sc 2.59-2.61
P (0.5000, 0.0000, 0.0000)  6 Sc 2.59-2.61
Se (0.0000, 0.0000, 0.0000)  6 Sc 2.77
Se (0.0000, 0.5000, 0.5000)  6 Sc 2.79-2.80
Se (0.5000, 0.0000, 0.5000)  6 Sc 2.79-2.80
Se (0.5000, 0.5000, 0.0000)  6 Sc 2.79-2.80
S (0.5000, 0.5000, 0.5000)  6 Sc 2.63

=====

Here is a relaxed Sc4P2SeS crystal from Alexandria. Energies are from PBE.

E, eV/atom: -7.144
Calculated volume, Å³ per cell: 303
Formation energy (no corrections), meV per atom: -1674
Space group: I-4m2
Crystal system: tetragonal
Density of states at the Fermi level, states/eV/cell: 6.218

Cell: 5.3250 5.3250 10.7017 Å, 90.00 90.00 90.00°
With the nearest neighbours (Å) after each atom.
Positions (direct):
Sc (0.0000, 0.0000, 0.2396)  3 P 2.56-2.66, 2 S 2.66, 1 Se 2.79
Sc (0.0000, 0.0000, 0.7604)  3 P 2.56-2.66, 2 S 2.66, 1 Se 2.79
Sc (0.0000, 0.5000, 0.5063)  3 P 2.61-2.66, 2 Se 2.66, 1 S 2.74
Sc (0.0000, 0.5000, 0.9937)  3 P 2.61-2.66, 2 Se 2.66, 1 S 2.74
Sc (0.5000, 0.0000, 0.0063)  3 P 2.61-2.66, 2 Se 2.66, 1 S 2.74
Sc (0.5000, 0.0000, 0.4937)  3 P 2.61-2.66, 2 Se 2.66, 1 S 2.74
Sc (0.5000, 0.5000, 0.2604)  3 P 2.56-2.66, 2 S 2.66, 1 Se 2.79
Sc (0.5000, 0.5000, 0.7396)  3 P 2.56-2.66, 2 S 2.66, 1 Se 2.79
P (0.0000, 0.0000, 0.0000)  6 Sc 2.56-2.66
P (0.0000, 0.5000, 0.7500)  6 Sc 2.61-2.66
P (0.5000, 0.0000, 0.2500)  6 Sc 2.61-2.66
P (0.5000, 0.5000, 0.5000)  6 Sc 2.56-2.66
Se (0.0000, 0.0000, 0.5000)  6 Sc 2.66-2.79
Se (0.5000, 0.5000, 0.0000)  6 Sc 2.66-2.79
S (0.0000, 0.5000, 0.2500)  6 Sc 2.66-2.74
S (0.5000, 0.0000, 0.7500)  6 Sc 2.66-2.74

=====

Here is a relaxed Sc8PSe3S4 crystal from Alexandria. Energies are from PBE.

E, eV/atom: -6.940
Calculated volume, Å³ per cell: 303
Formation energy (no corrections), meV per atom: -1751
Space group: R-3m
Crystal system: trigonal
Density of states at the Fermi level, states/eV/cell: 7.006

Cell: 7.5410 7.5410 7.5410 Å, 60.02 60.02 60.02°
With the nearest neighbours (Å) after each atom.
Positions (direct):
Sc (0.2263, 0.7559, 0.7559)  3 S 2.57-2.73, 1 P 2.61, 2 Se 2.76
Sc (0.2398, 0.2398, 0.2398)  3 S 2.56, 3 Se 2.78
Sc (0.2441, 0.2441, 0.7737)  3 S 2.57-2.73, 1 P 2.61, 2 Se 2.76
Sc (0.2441, 0.7737, 0.2441)  3 S 2.57-2.73, 1 P 2.61, 2 Se 2.76
Sc (0.7559, 0.2263, 0.7559)  3 S 2.57-2.73, 1 P 2.61, 2 Se 2.76
Sc (0.7559, 0.7559, 0.2263)  3 S 2.57-2.73, 1 P 2.61, 2 Se 2.76
Sc (0.7602, 0.7602, 0.7602)  3 S 2.56, 3 Se 2.78
Sc (0.7737, 0.2441, 0.2441)  3 S 2.57-2.73, 1 P 2.61, 2 Se 2.76
P (0.0000, 0.0000, 0.0000)  6 Sc 2.61
Se (0.0000, 0.5000, 0.5000)  6 Sc 2.76-2.78
Se (0.5000, 0.0000, 0.5000)  6 Sc 2.76-2.78
Se (0.5000, 0.5000, 0.0000)  6 Sc 2.76-2.78
S (0.0000, 0.0000, 0.5000)  6 Sc 2.56-2.57
S (0.0000, 0.5000, 0.0000)  6 Sc 2.56-2.57
S (0.5000, 0.0000, 0.0000)  6 Sc 2.56-2.57
S (0.5000, 0.5000, 0.5000)  6 Sc 2.73

=====

Here is a relaxed ScSiPS2 crystal from Alexandria. Energies are from PBE.

E above lowest polymorph, kJ/mol of formula units: 208.5
E, eV/atom: -4.872
Calculated volume, Å³ per cell: 117
Formation energy (no corrections), meV per atom: 212
Space group: P4/mmm
Crystal system: tetragonal
Density of states at the Fermi level, states/eV/cell: 4.593

Cell: 4.8455 4.8455 4.9909 Å, 90.00 90.00 90.00°
With the nearest neighbours (Å) after each atom.
Positions (direct):
Sc (0.0000, 0.0000, 0.0000)  4 S 2.42, 2 P 2.50
Si (0.5000, 0.5000, 0.5000)  4 P 3.43, 8 S 3.48
P (0.0000, 0.0000, 0.5000)  2 Sc 2.50
S (0.0000, 0.5000, 0.0000)  2 Sc 2.42
S (0.5000, 0.0000, 0.0000)  2 Sc 2.42

=====

Here is a relaxed Sc6SiP2S3 crystal from Alexandria. Energies are from PBE.

E, eV/atom: -7.139
Calculated volume, Å³ per cell: 223
Formation energy (no corrections), meV per atom: -1588
Space group: C2/m
Crystal system: monoclinic
Density of states at the Fermi level, states/eV/cell: 4.180

Cell: 8.3965 8.3965 7.5192 Å, 103.32 103.32 25.71°
With the nearest neighbours (Å) after each atom.
Positions (direct):
Sc (0.0011, 0.0011, 0.2498)  1 P 2.63, 2 Si 2.65, 3 S 2.65-2.68
Sc (0.3304, 0.3304, 0.4221)  3 P 2.61, 3 S 2.68-2.70
Sc (0.3341, 0.3341, 0.9122)  2 P 2.63, 1 Si 2.64, 3 S 2.65-2.69
Sc (0.6659, 0.6659, 0.0878)  2 P 2.63, 1 Si 2.64, 3 S 2.65-2.69
Sc (0.6696, 0.6696, 0.5779)  3 P 2.61, 3 S 2.68-2.70
Sc (0.9989, 0.9989, 0.7502)  1 P 2.63, 2 Si 2.65, 3 S 2.65-2.68
Si (0.5000, 0.5000, 0.0000)  6 Sc 2.64-2.65
P (0.1667, 0.1667, 0.3336)  6 Sc 2.61-2.63
P (0.8333, 0.8333, 0.6664)  6 Sc 2.61-2.63
S (0.1674, 0.1674, 0.8319)  6 Sc 2.65-2.69
S (0.5000, 0.5000, 0.5000)  6 Sc 2.65-2.70
S (0.8326, 0.8326, 0.1681)  6 Sc 2.65-2.69

=====

Here is a relaxed ScSiPS2 crystal from Alexandria. Energies are from PBE.

E above lowest polymorph, kJ/mol of formula units: 0.0
E, eV/atom: -5.304
Calculated volume, Å³ per cell: 93
Formation energy (no corrections), meV per atom: -221
Space group: P4/mmm
Crystal system: tetragonal
Density of states at the Fermi level, states/eV/cell: 2.495

Cell: 4.5241 4.5241 4.5256 Å, 90.00 90.00 90.00°
With the nearest neighbours (Å) after each atom.
Positions (direct):
Sc (0.0000, 0.0000, 0.0000)  4 P 3.20, 8 S 3.20
Si (0.5000, 0.5000, 0.5000)  4 S 2.26, 2 P 2.26
P (0.5000, 0.5000, 0.0000)  2 Si 2.26
S (0.0000, 0.5000, 0.5000)  2 Si 2.26
S (0.5000, 0.0000, 0.5000)  2 Si 2.26

=====

Here is a relaxed SmScPS crystal from Alexandria. Energies are from PBE.

E, eV/atom: -6.851
Calculated volume, Å³ per cell: 255
Formation energy (no corrections), meV per atom: -1704
Space group: R3m
Crystal system: trigonal
Density of states at the Fermi level, states/eV/cell: 8.394

Cell: 3.8254 3.8254 20.1047 Å, 90.00 90.00 120.00°
With the nearest neighbours (Å) after each atom.
Positions (direct):
Sm (0.0000, 0.0000, 0.0000)  3 P 2.81, 3 S 2.94
Sm (0.3333, 0.6667, 0.6667)  3 P 2.81, 3 S 2.94
Sm (0.6667, 0.3333, 0.3333)  3 P 2.81, 3 S 2.94
Sc (0.0000, 0.0000, 0.1779)  3 P 2.61, 3 S 2.75
Sc (0.3333, 0.6667, 0.8446)  3 P 2.61, 3 S 2.75
Sc (0.6667, 0.3333, 0.5112)  3 P 2.61, 3 S 2.75
P (0.0000, 0.0000, 0.5800)  3 Sc 2.61, 3 Sm 2.81
P (0.3333, 0.6667, 0.2467)  3 Sc 2.61, 3 Sm 2.81
P (0.6667, 0.3333, 0.9133)  3 Sc 2.61, 3 Sm 2.81
S (0.0000, 0.0000, 0.7631)  3 Sc 2.75, 3 Sm 2.94
S (0.3333, 0.6667, 0.4297)  3 Sc 2.75, 3 Sm 2.94
S (0.6667, 0.3333, 0.0964)  3 Sc 2.75, 3 Sm 2.94

=====

Here is a relaxed ScSnPS2 crystal from Alexandria. Energies are from PBE.

E above lowest polymorph, kJ/mol of formula units: 0.0
E, eV/atom: -5.097
Calculated volume, Å³ per cell: 120
Formation energy (no corrections), meV per atom: -297
Space group: P4/mmm
Crystal system: tetragonal
Density of states at the Fermi level, states/eV/cell: 4.205

Cell: 4.9036 4.9036 5.0113 Å, 90.00 90.00 90.00°
With the nearest neighbours (Å) after each atom.
Positions (direct):
Sc (0.0000, 0.0000, 0.0000)  4 S 2.45, 2 P 2.51
Sn (0.5000, 0.5000, 0.5000)  4 P 3.47, 8 S 3.51
P (0.0000, 0.0000, 0.5000)  2 Sc 2.51
S (0.0000, 0.5000, 0.0000)  2 Sc 2.45
S (0.5000, 0.0000, 0.0000)  2 Sc 2.45

=====

Here is a relaxed ScSnP2S crystal from Alexandria. Energies are from PBE.

E above lowest polymorph, kJ/mol of formula units: 196.1
E, eV/atom: -4.609
Calculated volume, Å³ per cell: 121
Formation energy (no corrections), meV per atom: 447
Space group: P4/mmm
Crystal system: tetragonal
Density of states at the Fermi level, states/eV/cell: 4.964

Cell: 4.9448 4.9448 4.9681 Å, 90.00 90.00 90.00°
With the nearest neighbours (Å) after each atom.
Positions (direct):
Sc (0.0000, 0.0000, 0.0000)  4 S 3.50, 8 P 3.50
Sn (0.5000, 0.5000, 0.5000)  4 P 2.47, 2 S 2.48
P (0.0000, 0.5000, 0.5000)  2 Sn 2.47
P (0.5000, 0.0000, 0.5000)  2 Sn 2.47
S (0.5000, 0.5000, 0.0000)  2 Sn 2.48

=====

Question: Which formula does entry 5 have?
Answer: Sc4P2SeS